[1]
A geometry-optimized AsRu2Au structure. Source: Alexandria via LeMat-Bulk, functional PBE-GGA.

Summary:
ΔE_f = 0.29 eV/atom

The structure in POSCAR format:
```
AsRu2Au
1.0
4.855 0.015 0.048
3.979 2.782 0.048
0.886 0.281 4.766
Ru As Au
2 1 1
Cartesian
0.942 0.298 4.538
7.307 2.314 3.679
4.770 1.510 2.678
2.447 0.775 1.164
```

---

[2]
A geometry-optimized CuHgPd3 structure. Source: Alexandria via LeMat-Bulk, functional PBE-GGA.

Summary:
ΔE_f = -0.04 eV/atom
Polymorph energy (0 for the lowest one) = 0.061 eV per atom

The structure in POSCAR format:
```
CuHgPd3
1.0
3.086 0.000 0.001
0.000 6.787 0.000
-0.002 0.000 7.813
Cu Hg Pd
2 2 6
Cartesian
1.824 4.156 1.073
1.823 4.155 4.980
1.820 0.183 6.938
1.820 1.341 3.031
0.278 6.209 4.499
0.278 2.104 5.469
0.279 2.103 0.592
0.279 4.594 6.934
0.279 6.208 1.562
0.280 3.718 3.027
```